No. 1
The following is a DFT calculation (PBE) of a relaxed structure of CeMgNpO6.

POSCAR file:
```
CeMgNpO6
1.0
-3.786 -2.305 -3.096
0.709 -1.666 5.094
-6.583 6.660 3.094
O Np Mg Ce
12 2 2 2
Cartesian
-4.881 0.895 -0.872
-6.184 1.642 3.307
-2.214 0.088 -0.623
-2.926 -1.693 1.697
-3.477 1.048 1.786
-5.692 -0.947 1.367
-3.969 3.637 3.726
-7.446 2.602 5.715
-4.779 1.795 5.965
-6.734 4.383 3.395
-4.411 -1.950 -0.909
-5.250 4.640 6.001
-5.727 3.116 4.685
-3.934 -0.427 0.408
-2.435 -0.214 3.138
-7.225 2.904 1.955
0.000 0.000 0.000
-3.292 3.330 1.547
```

Output
- V: 249.6 Å³ per cell
- E_form (uncorrected): -2.938 eV/atom


No. 2
The following is a DFT calculation (PBE) of a relaxed structure of CeMg3O4.

POSCAR file:
```
CeMg3O4
1.0
-3.938 -2.334 -1.055
1.140 0.136 -4.555
2.294 -4.074 0.452
O Mg Ce
4 3 1
Cartesian
-0.252 -3.136 -2.579
1.147 -2.037 0.226
0.570 0.068 -2.278
-1.969 -1.167 -0.527
-1.399 -1.099 -2.805
1.717 -1.969 -2.051
-0.822 -3.204 -0.301
0.000 0.000 0.000
```

Output
- V: 103.7 Å³ per cell
- E_form (uncorrected): -2.286 eV/atom


No. 3
The following is a DFT calculation (PBE) of a relaxed structure of Ce2MgO.

POSCAR file:
```
Ce2MgO
1.0
-1.426 3.172 0.040
-2.515 0.805 -2.263
-7.312 -1.444 4.941
Ce Mg O
2 1 1
Cartesian
-6.326 -0.989 4.007
-2.300 0.870 0.193
-5.618 1.271 1.350
-2.637 2.647 -1.473
```

Output
- V: 91.3 Å³ per cell
- E_form (uncorrected): -1.248 eV/atom
- E above lowest polymorph: 0.00 kcal/mol of atoms


no.,DOS at the Fermi energy (states/eV per cell)
1,7.8
2,4.8
3,7.9